# Co2ReTe

A relaxed Co2ReTe crystal (PBE-GGA, Alexandria).

```
Co2ReTe
1.0
4.157 -1.548 0.000
4.157 1.548 0.000
-0.771 0.000 4.704
Co Re Te
2 1 1
Direct
0.236 0.236 0.197
0.764 0.764 0.803
0.500 0.500 0.000
0.000 0.000 0.500
```

Summary:
Its uncorrected formation energy is 2.3 eV per formula unit. The value obtained for the magnetization is 1.43 μB/f.u.



# NbCoReI

A relaxed NbCoReI crystal (PBE-GGA, Alexandria).

```
NbCoReI
1.0
2.464 -2.173 0.000
2.464 2.173 0.000
-2.271 0.000 7.206
Nb Co Re I
1 1 1 1
Direct
0.000 0.000 0.000
0.904 0.904 0.634
0.464 0.464 0.777
0.714 0.714 0.282
```

Summary:
Its uncorrected formation energy is 1.9 eV per formula unit. As for the relative energy among the computed polymorphs: 0.004 eV per atom. The value obtained for the magnetization is 0.00 μB/f.u.



# YSn2Mo

A relaxed YSn2Mo crystal (PBE-GGA, Alexandria).

```
YSn2Mo
1.0
-2.163 2.163 10.481
2.163 -2.163 10.481
2.163 2.163 -10.481
Y Sn Mo
2 4 2
Direct
0.000 0.000 0.000
0.750 0.250 0.500
0.142 0.625 0.017
0.375 0.392 0.517
0.608 0.125 0.983
0.875 0.858 0.483
0.250 0.750 0.500
0.500 0.500 0.000
```

Summary:
The formation energy comes out at 0.33 eV per atom. As for the relative energy among the computed polymorphs: 0.361 eV per atom. The value obtained for the magnetization is 0.60 μB/f.u.



# MgMnBr2

A relaxed MgMnBr2 crystal (PBE-GGA, Alexandria).

```
MgMnBr2
1.0
-1.778 3.727 4.914
1.778 -3.727 4.914
1.778 3.727 -4.914
Mg Mn Br
1 1 2
Direct
0.000 0.000 0.000
0.755 0.255 0.500
0.192 0.692 0.500
0.565 0.565 0.000
```

Summary:
Its uncorrected formation energy is -1.4 eV per formula unit. As for the relative energy among the computed polymorphs: 0.191 eV per atom. The value obtained for the magnetization is 5.01 μB/f.u.



# Ho4TePS2

A relaxed Ho4TePS2 crystal (PBE-GGA, Alexandria).

```
Ho4TePS2
1.0
6.916 0.000 0.000
0.000 3.994 0.000
-2.315 0.000 6.719
Ho Te P S
4 1 1 2
Direct
0.227 0.000 0.214
0.246 0.500 0.773
0.754 0.500 0.227
0.773 0.000 0.786
0.500 0.500 0.500
0.500 0.000 0.000
0.000 0.000 0.500
0.000 0.500 0.000
```

Summary:
Its uncorrected formation energy is -13.7 eV per formula unit. The value obtained for the magnetization is 0.00 μB/f.u.



# LiPu2SnTe4

A relaxed LiPu2SnTe4 crystal (PBE-GGA, Alexandria).

```
LiPu2SnTe4
1.0
7.726 0.000 0.000
0.000 4.459 0.000
-2.560 0.000 7.340
Li Pu Sn Te
1 2 1 4
Direct
0.000 0.000 0.000
0.000 0.500 0.500
0.500 0.000 0.500
0.500 0.500 0.000
0.244 0.000 0.747
0.246 0.500 0.250
0.754 0.500 0.750
0.756 0.000 0.253
```

Summary:
Its uncorrected formation energy is -6.6 eV per formula unit. The value obtained for the magnetization is 11.00 μB/f.u.